{"formula": "CdSb2HI", "functional": "PBE", "state": "optimized geometry", "dos_ef_per_ev_fu": 4.95, "magmom_total_mub_per_cell": 2.51, "de_polymorph_mev_per_atom": 597.1, "energy_ev_per_atom": -1.846, "vol_a3_per_atom": 38.9, "cell": [[5.604, 0.000, 0.000], [0.000, 5.604, 0.000], [0.000, 0.000, 6.199]], "species": ["I", "H", "Sb", "Cd", "Sb"], "frac_coords": [[0.000, 0.000, 0.500], [0.500, 0.500, 0.500], [0.500, 0.000, 0.000], [0.000, 0.000, 0.000], [0.000, 0.500, 0.000]]}